! LiCrBr2, relaxed, DFT PBE-GGA; values from VASP
&SYSTEM
  ibrav = 0, nat = 8, ntyp = 3
/
ATOMIC_SPECIES
Li 6.94 Li.upf
Cr 52.00 Cr.upf
Br 79.90 Br.upf
CELL_PARAMETERS angstrom
7.150 0.000 0.000
0.000 3.927 0.000
-1.339 0.000 6.762
ATOMIC_POSITIONS crystal
Li 0.000 0.000 0.000
Li 0.500 0.500 0.000
Cr 0.000 0.500 0.500
Cr 0.500 0.000 0.500
Br 0.198 0.500 0.227
Br 0.302 0.000 0.773
Br 0.698 0.000 0.227
Br 0.802 0.500 0.773
! excess energy over the best structure of this formula in the dataset = 39 meV per atom
! space-group type = C2/m, No. 12



! LiCr2Br, relaxed, DFT PBE-GGA; values from VASP
&SYSTEM
  ibrav = 0, nat = 8, ntyp = 3
/
ATOMIC_SPECIES
Li 6.94 Li.upf
Cr 52.00 Cr.upf
Br 79.90 Br.upf
CELL_PARAMETERS angstrom
3.267 0.000 0.000
0.000 3.316 0.000
0.000 0.000 12.887
ATOMIC_POSITIONS crystal
Li 0.000 0.000 0.000
Li 0.000 0.500 0.500
Cr 0.000 0.000 0.224
Cr 0.000 0.500 0.724
Cr 0.500 0.000 0.640
Cr 0.500 0.500 0.140
Br 0.500 0.000 0.419
Br 0.500 0.500 0.919
! excess energy over the best structure of this formula in the dataset = 0 meV per atom
! Fermi-level density of states = 0.2697 states/eV per atom
! space-group type = Amm2, No. 38



! Li3CrBr, relaxed, DFT PBE-GGA; values from VASP
&SYSTEM
  ibrav = 0, nat = 5, ntyp = 3
/
ATOMIC_SPECIES
Li 6.94 Li.upf
Cr 52.00 Cr.upf
Br 79.90 Br.upf
CELL_PARAMETERS angstrom
4.914 0.000 0.000
0.000 4.914 0.000
0.000 0.000 4.914
ATOMIC_POSITIONS crystal
Li 0.000 0.000 0.500
Li 0.000 0.500 0.000
Li 0.500 0.000 0.000
Cr 0.500 0.500 0.500
Br 0.000 0.000 0.000
! excess energy over the best structure of this formula in the dataset = 0 meV per atom
! Fermi-level density of states = 0.4807 states/eV per atom
! space-group type = Pm-3m, No. 221



! LiCrBr2, relaxed, DFT PBE-GGA; values from VASP
&SYSTEM
  ibrav = 0, nat = 12, ntyp = 3
/
ATOMIC_SPECIES
Li 6.94 Li.upf
Cr 52.00 Cr.upf
Br 79.90 Br.upf
CELL_PARAMETERS angstrom
4.387 0.000 0.000
-2.194 3.799 0.000
0.000 0.000 24.710
ATOMIC_POSITIONS crystal
Li 0.000 0.000 0.000
Li 0.333 0.667 0.667
Li 0.667 0.333 0.333
Cr 0.000 0.000 0.860
Cr 0.333 0.667 0.527
Cr 0.667 0.333 0.193
Br 0.000 0.000 0.330
Br 0.000 0.000 0.514
Br 0.333 0.667 0.181
Br 0.333 0.667 0.996
Br 0.667 0.333 0.663
Br 0.667 0.333 0.848
! excess energy over the best structure of this formula in the dataset = 92 meV per atom
! Fermi-level density of states = 0.0548 states/eV per atom
! space-group type = R3m, No. 160



! LiCrBr2, relaxed, DFT PBE-GGA; values from VASP
&SYSTEM
  ibrav = 0, nat = 16, ntyp = 3
/
ATOMIC_SPECIES
Li 6.94 Li.upf
Cr 52.00 Cr.upf
Br 79.90 Br.upf
CELL_PARAMETERS angstrom
5.992 0.000 0.000
0.000 5.992 0.000
0.000 0.000 12.156
ATOMIC_POSITIONS crystal
Li 0.000 0.000 0.000
Li 0.000 0.500 0.250
Li 0.500 0.000 0.750
Li 0.500 0.500 0.500
Cr 0.000 0.000 0.500
Cr 0.000 0.500 0.750
Cr 0.500 0.000 0.250
Cr 0.500 0.500 0.000
Br 0.235 0.250 0.125
Br 0.250 0.735 0.375
Br 0.250 0.765 0.875
Br 0.265 0.250 0.625
Br 0.735 0.750 0.625
Br 0.750 0.235 0.875
Br 0.750 0.265 0.375
Br 0.765 0.750 0.125
! excess energy over the best structure of this formula in the dataset = 0 meV per atom
! Fermi-level density of states = 0.0867 states/eV per atom
! space-group type = I-42d, No. 122



! Li2CrBr5, relaxed, DFT PBE-GGA; values from VASP
&SYSTEM
  ibrav = 0, nat = 16, ntyp = 3
/
ATOMIC_SPECIES
Li 6.94 Li.upf
Cr 52.00 Cr.upf
Br 79.90 Br.upf
CELL_PARAMETERS angstrom
2.574 -7.502 0.000
2.574 7.502 0.000
0.000 0.000 12.313
ATOMIC_POSITIONS crystal
Li 0.185 0.815 0.547
Li 0.185 0.815 0.953
Li 0.815 0.185 0.047
Li 0.815 0.185 0.453
Cr 0.192 0.808 0.250
Cr 0.808 0.192 0.750
Br 0.077 0.923 0.111
Br 0.077 0.923 0.389
Br 0.277 0.723 0.750
Br 0.315 0.685 0.100
Br 0.315 0.685 0.400
Br 0.685 0.315 0.600
Br 0.685 0.315 0.900
Br 0.723 0.277 0.250
Br 0.923 0.077 0.611
Br 0.923 0.077 0.889
! Fermi-level density of states = 0.1985 states/eV per atom
! space-group type = Cmcm, No. 63



! LiCrBr2, relaxed, DFT PBE-GGA; values from VASP
&SYSTEM
  ibrav = 0, nat = 12, ntyp = 3
/
ATOMIC_SPECIES
Li 6.94 Li.upf
Cr 52.00 Cr.upf
Br 79.90 Br.upf
CELL_PARAMETERS angstrom
4.030 0.000 0.000
-2.015 3.490 0.000
0.000 0.000 23.628
ATOMIC_POSITIONS crystal
Li 0.000 0.000 0.000
Li 0.333 0.667 0.667
Li 0.667 0.333 0.333
Cr 0.000 0.000 0.500
Cr 0.333 0.667 0.167
Cr 0.667 0.333 0.833
Br 0.000 0.000 0.395
Br 0.000 0.000 0.605
Br 0.333 0.667 0.062
Br 0.333 0.667 0.271
Br 0.667 0.333 0.729
Br 0.667 0.333 0.938
! excess energy over the best structure of this formula in the dataset = 64 meV per atom
! Fermi-level density of states = 0.2564 states/eV per atom
! space-group type = R-3m, No. 166



! LiCr2Br, relaxed, DFT PBE-GGA; values from VASP
&SYSTEM
  ibrav = 0, nat = 12, ntyp = 3
/
ATOMIC_SPECIES
Li 6.94 Li.upf
Cr 52.00 Cr.upf
Br 79.90 Br.upf
CELL_PARAMETERS angstrom
2.865 0.000 0.000
-1.432 2.481 0.000
0.000 0.000 25.374
ATOMIC_POSITIONS crystal
Li 0.000 0.000 0.000
Li 0.333 0.667 0.667
Li 0.667 0.333 0.333
Cr 0.000 0.000 0.243
Cr 0.000 0.000 0.757
Cr 0.333 0.667 0.424
Cr 0.333 0.667 0.909
Cr 0.667 0.333 0.091
Cr 0.667 0.333 0.576
Br 0.000 0.000 0.500
Br 0.333 0.667 0.167
Br 0.667 0.333 0.833
! excess energy over the best structure of this formula in the dataset = 969 meV per atom
! Fermi-level density of states = 1.3156 states/eV per atom
! space-group type = R-3m, No. 166



! Li2CrBr6, relaxed, DFT PBE-GGA; values from VASP
&SYSTEM
  ibrav = 0, nat = 18, ntyp = 3
/
ATOMIC_SPECIES
Li 6.94 Li.upf
Cr 52.00 Cr.upf
Br 79.90 Br.upf
CELL_PARAMETERS angstrom
6.297 0.000 0.000
0.000 6.297 0.000
0.000 0.000 11.649
ATOMIC_POSITIONS crystal
Li 0.000 0.000 0.169
Li 0.000 0.000 0.831
Li 0.500 0.500 0.331
Li 0.500 0.500 0.669
Cr 0.000 0.000 0.500
Cr 0.500 0.500 0.000
Br 0.192 0.192 0.345
Br 0.192 0.192 0.655
Br 0.219 0.219 0.000
Br 0.281 0.719 0.500
Br 0.308 0.692 0.155
Br 0.308 0.692 0.845
Br 0.692 0.308 0.155
Br 0.692 0.308 0.845
Br 0.719 0.281 0.500
Br 0.781 0.781 0.000
Br 0.808 0.808 0.345
Br 0.808 0.808 0.655
! Fermi-level density of states = 1.0100 states/eV per atom
! space-group type = P4_2/mnm, No. 136



! LiCr2Br, relaxed, DFT PBE-GGA; values from VASP
&SYSTEM
  ibrav = 0, nat = 4, ntyp = 3
/
ATOMIC_SPECIES
Li 6.94 Li.upf
Cr 52.00 Cr.upf
Br 79.90 Br.upf
CELL_PARAMETERS angstrom
3.573 0.000 0.000
0.000 3.584 0.000
0.000 0.000 6.240
ATOMIC_POSITIONS crystal
Li 0.000 0.000 0.000
Cr 0.000 0.500 0.500
Cr 0.500 0.000 0.500
Br 0.500 0.500 0.000
! excess energy over the best structure of this formula in the dataset = 232 meV per atom
! Fermi-level density of states = 0.2670 states/eV per atom
! space-group type = Pmmm, No. 47



! LiCr2Br, relaxed, DFT PBE-GGA; values from VASP
&SYSTEM
  ibrav = 0, nat = 4, ntyp = 3
/
ATOMIC_SPECIES
Li 6.94 Li.upf
Cr 52.00 Cr.upf
Br 79.90 Br.upf
CELL_PARAMETERS angstrom
3.544 0.000 0.000
0.000 3.544 0.000
0.000 0.000 6.366
ATOMIC_POSITIONS crystal
Li 0.000 0.000 0.000
Cr 0.500 0.500 0.235
Cr 0.500 0.500 0.765
Br 0.000 0.000 0.500
! excess energy over the best structure of this formula in the dataset = 588 meV per atom
! Fermi-level density of states = 0.6789 states/eV per atom
! space-group type = P4/mmm, No. 123



! LiCrBr2, relaxed, DFT PBE-GGA; values from VASP
&SYSTEM
  ibrav = 0, nat = 8, ntyp = 3
/
ATOMIC_SPECIES
Li 6.94 Li.upf
Cr 52.00 Cr.upf
Br 79.90 Br.upf
CELL_PARAMETERS angstrom
3.880 0.000 0.000
0.000 7.411 0.000
0.000 0.000 7.443
ATOMIC_POSITIONS crystal
Li 0.000 0.000 0.000
Li 0.500 0.500 0.500
Cr 0.000 0.000 0.500
Cr 0.500 0.500 0.000
Br 0.000 0.500 0.254
Br 0.000 0.500 0.746
Br 0.500 0.000 0.246
Br 0.500 0.000 0.754
! excess energy over the best structure of this formula in the dataset = 125 meV per atom
! Fermi-level density of states = 0.1239 states/eV per atom
! space-group type = Immm, No. 71



Values of energy relative to the elements, uncorrected, in order: -0.64, 0.01, 0.04, -0.59, -0.68, -1.07, -0.62, 0.98, -0.92, 0.24, 0.60, -0.56, all in eV/atom.
Values of mass density, in order: 3.83, 4.54, 2.14, 2.65, 3.33, 3.25, 3.28, 5.27, 3.92, 3.97, 3.96, 3.39, all in g/cm³.